Density functional theory data (PBE+U) for crystalline Sr3MnV2O9 at its relaxed geometry.

Cell: 5.581 5.581 6.903 Å, 90.00 90.00 120.00°
Fractional coordinates of all 15 atoms:
Sr (0.000, 0.000, 0.000)
Sr (0.333, 0.667, 0.685)
Sr (0.667, 0.333, 0.315)
Mn (0.000, 0.000, 0.500)
V (0.333, 0.667, 0.177)
V (0.667, 0.333, 0.823)
O (0.000, 0.500, 0.000)
O (0.174, 0.349, 0.318)
O (0.174, 0.826, 0.318)
O (0.349, 0.174, 0.682)
O (0.500, 0.000, 0.000)
O (0.500, 0.500, 0.000)
O (0.651, 0.826, 0.318)
O (0.826, 0.174, 0.682)
O (0.826, 0.651, 0.682)

---

Density functional theory data (PBE+U) for crystalline SrMnVO6 at its relaxed geometry.

Cell: 5.043 5.044 5.436 Å, 90.03 90.04 119.95°
Fractional coordinates of all 9 atoms:
Sr (0.000, 0.000, 0.000)
Mn (0.667, 0.333, 0.511)
V (0.333, 0.667, 0.489)
O (0.001, 0.620, 0.309)
O (0.004, 0.394, 0.706)
O (0.379, 0.381, 0.309)
O (0.391, 0.997, 0.706)
O (0.606, 0.610, 0.706)
O (0.619, 0.998, 0.309)

---

Quick rundown of total DFT energy (no corrections), same order as above: -7.183; -6.972 eV per atom
Quick rundown of size of the total moment, same order as above: 5.000; 1.998 μB/f.u.
Quick rundown of calculated volume, same order as above: 12.414; 13.311 Å³/atom